Compound: LaGaRe
Source: OQMD
Functional: GGA-PBE
Structure: optimized geometry

## Properties
Total DFT energy (no corrections)   -5.536 eV per atom
Density   8.39 g/cm3

```
LaGaRe
1.0
0.0000 3.3930 3.3930
3.3930 0.0000 3.3930
3.3930 3.3930 0.0000
Ga La Re
1 1 1
Direct
0.2500 0.2500 0.2500
0.0000 0.0000 0.0000
0.7500 0.7500 0.7500
```

***

Compound: Dy2Er3S7
Source: OQMD
Functional: GGA-PBE
Structure: optimized geometry

## Properties
Total DFT energy (no corrections)   -6.379 eV per atom
Density   6.46 g/cm3

```
Dy2Er3S7
1.0
6.3908 -1.8902 0.0000
6.3908 1.8902 0.0000
-2.9137 0.0000 11.1801
Dy Er S
2 3 7
Direct
0.1119 0.1119 0.4205
0.8881 0.8881 0.5795
0.0000 0.0000 0.0000
0.3000 0.3000 0.1865
0.7000 0.7000 0.8135
0.6589 0.6589 0.0508
0.9575 0.9575 0.2138
0.7418 0.7418 0.3506
0.5000 0.5000 0.5000
0.2582 0.2582 0.6494
0.0425 0.0425 0.7862
0.3411 0.3411 0.9492
```

***

Compound: Pr2Zn2I
Source: OQMD
Functional: GGA-PBE
Structure: optimized geometry

## Properties
Total DFT energy (no corrections)   -3.364 eV per atom
Density   6.48 g/cm3

```
Pr2Zn2I
1.0
4.4036 0.0000 0.0000
-2.2018 3.8137 0.0000
0.0000 0.0000 8.2266
I Pr Zn
1 2 2
Direct
0.6667 0.3333 0.0000
0.0000 0.0000 0.2730
0.0000 0.0000 0.7270
0.6667 0.3333 0.5000
0.3333 0.6667 0.5000
```

***

Compound: UTcAg
Source: OQMD
Functional: GGA-PBE
Structure: optimized geometry

## Properties
Total DFT energy (no corrections)   -7.060 eV per atom
Formation enthalpy at 0 K   106 kJ/mol of atoms
Density   11.32 g/cm3

```
UTcAg
1.0
0.0000 3.1934 3.1934
3.1934 0.0000 3.1934
3.1934 3.1934 0.0000
Ag Tc U
1 1 1
Direct
0.0000 0.0000 0.0000
0.2500 0.2500 0.2500
0.7500 0.7500 0.7500
```